This record from the Alexandria database describes a relaxed LiAl3Mo crystal. The functional is PBE.

Structure (POSCAR):
```
LiAl3Mo
1.0
4.870 0.000 0.000
0.000 4.870 0.000
0.000 0.000 4.870
Li Al Mo
1 3 1
Direct
0.000 0.000 0.000
0.000 0.500 0.500
0.500 0.000 0.500
0.500 0.500 0.000
0.500 0.500 0.500
```

Summary:
- ΔH_f (0 K) (eV/atom) = 0.350
- energy above the most stable polymorph in this dataset (eV/f.u.) = 0.000
- SG = Pm-3m
- ρ (g cm⁻³) = 2.6